## DyZnGe (PBE)

Data for a relaxed structure of DyZnGe.

Unit cell a=3.4320 b=3.4320 c=10.5234 alpha=90.00 beta=90.00 gamma=90.00
Space group I4mm (No. 107)
Inequivalent atoms, fractional coordinates:
Dy  0.0000  0.0000  0.0000 x2
Zn  0.0000  0.0000  0.6838 x2
Ge  0.0000  0.0000  0.3073 x2

Summary:
* ΔE_f: -0.9 eV per formula unit
* volume: 20.7 Å³ per atom
* total energy: -3.7855 eV per atom